This record from Alexandria via LeMat-Bulk describes a geometry-optimized Cd2SbRu structure. The functional is GGA-PBE.

Values from the calculation:
Formation energy (no corrections): 0.10 eV per formula unit
Total energy: -3.783 eV/atom
V: 21.41 Å³/atom

Geometry as POSCAR:
```
Cd2SbRu
1.0
3.146 0.000 0.000
0.000 3.206 0.000
-1.559 0.000 8.489
Cd Sb Ru
2 1 1
Direct
0.000 0.000 0.000
0.365 0.500 0.734
0.196 0.000 0.395
0.610 0.500 0.221
```